## Zr2MoSF (PBE with a Hubbard U)

Data for Zr2MoSF after structural relaxation. Values from VASP.

Properties
M_tot = 0.0 μB/f.u.
crystal system = tetragonal
symmetry = P4/mmm (123)
N(E_F) = 3.54 states/eV per cell
electronic total energy = -30.306 eV/cell

The structure in Quantum ESPRESSO input format:
```
&SYSTEM
  ibrav = 0, nat = 5, ntyp = 4
/
ATOMIC_SPECIES
Zr 91.22 Zr.upf
Mo 95.94 Mo.upf
S 32.06 S.upf
F 19.00 F.upf
CELL_PARAMETERS angstrom
4.4989 0.0000 0.0000
0.0000 4.4989 0.0000
0.0000 0.0000 4.2382
ATOMIC_POSITIONS crystal
Zr 0.0000 0.5000 0.0000
Zr 0.5000 0.0000 0.0000
Mo 0.0000 0.0000 0.5000
S 0.5000 0.5000 0.5000
F 0.0000 0.0000 0.0000
```